(1)
A plane-wave DFT calculation with PBE-GGA was carried out for crystalline LiAcZr at its relaxed geometry.

The structure belongs to space group F-43m (No. 216); the cell edges are 7.097, 7.097 and 7.097 Å and the angles 90.00°, 90.00° and 90.00°. The asymmetric unit holds Li at (0.000, 0.000, 0.000), Ac at (0.000, 0.000, 0.500) and Zr at (0.250, 0.250, 0.750).

The energy above the most stable polymorph in this dataset comes out at 0.000 eV/atom. The total magnetization comes out at 0.1 μB per cell. The crystal system is cubic.



(2)
A plane-wave DFT calculation with PBE-GGA was carried out for crystalline LiAcZr at its relaxed geometry.

The structure belongs to space group F-43m (No. 216); the cell edges are 7.160, 7.160 and 7.160 Å and the angles 90.00°, 90.00° and 90.00°. The asymmetric unit holds Li at (0.000, 0.000, 0.000), Ac at (0.250, 0.250, 0.250) and Zr at (0.000, 0.000, 0.500).

The energy above the most stable polymorph in this dataset comes out at 0.160 eV/atom. The total magnetization comes out at 0.1 μB per cell. The crystal system is cubic.



(3)
A plane-wave DFT calculation with PBE-GGA was carried out for crystalline AcLuMo at its relaxed geometry.

The structure belongs to space group F-43m (No. 216); the cell edges are 7.159, 7.159 and 7.159 Å and the angles 90.00°, 90.00° and 90.00°. The asymmetric unit holds Ac at (0.000, 0.000, 0.000), Lu at (0.250, 0.250, 0.250) and Mo at (0.000, 0.000, 0.500).

The energy above the most stable polymorph in this dataset comes out at 0.000 eV/atom. The total magnetization comes out at 7.0 μB per cell. The crystal system is cubic. The calculation puts the formation energy from the elements at 1.24 eV/atom.



(4)
A plane-wave DFT calculation with PBE-GGA was carried out for crystalline AcLuMo at its relaxed geometry.

The structure belongs to space group F-43m (No. 216); the cell edges are 7.275, 7.275 and 7.275 Å and the angles 90.00°, 90.00° and 90.00°. The asymmetric unit holds Ac at (0.000, 0.000, 0.000), Lu at (0.250, 0.250, 0.750) and Mo at (0.250, 0.250, 0.250).

The energy above the most stable polymorph in this dataset comes out at 0.263 eV/atom. The total magnetization comes out at 8.2 μB per cell. The crystal system is cubic. The calculation puts the formation energy from the elements at 1.51 eV/atom.



(5)
A plane-wave DFT calculation with PBE-GGA was carried out for crystalline AcLuNi at its relaxed geometry.

The structure belongs to space group F-43m (No. 216); the cell edges are 6.989, 6.989 and 6.989 Å and the angles 90.00°, 90.00° and 90.00°. The asymmetric unit holds Ac at (0.000, 0.000, 0.000), Lu at (0.000, 0.000, 0.500) and Ni at (0.250, 0.250, 0.250).

The energy above the most stable polymorph in this dataset comes out at 0.000 eV/atom. The total magnetization comes out at 0.0 μB per cell. The crystal system is cubic. The calculation puts the formation energy from the elements at -0.05 eV/atom.



(6)
A plane-wave DFT calculation with PBE-GGA was carried out for crystalline Ac2Lu2O5 at its relaxed geometry.

The structure belongs to space group P4/mmm (No. 123); the cell edges are 4.270, 4.270 and 8.033 Å and the angles 90.00°, 90.00° and 90.00°. The asymmetric unit holds Ac at (0.000, 0.000, 0.000), Ac at (0.000, 0.000, 0.500), Lu at (0.500, 0.500, 0.239), O at (0.000, 0.500, 0.249) and O at (0.500, 0.500, 0.500).

The energy above the most stable polymorph in this dataset comes out at 0.000 eV/atom. The total magnetization comes out at 0.0 μB per cell. The crystal system is tetragonal.



(7)
A plane-wave DFT calculation with PBE-GGA was carried out for crystalline AcLu2O4 at its relaxed geometry.

The structure belongs to space group Fd-3m (No. 227, origin choice 2); the cell edges are 9.694, 9.694 and 9.694 Å and the angles 90.00°, 90.00° and 90.00°. The asymmetric unit holds Ac at (0.125, 0.125, 0.125), Lu at (0.000, 0.000, 0.500) and O at (0.019, 0.019, 0.731).

The total magnetization comes out at 0.2 μB per cell. The crystal system is cubic. The value obtained for the total energy is -0.2949 Ha/atom.



(8)
A plane-wave DFT calculation with PBE-GGA was carried out for crystalline Ac2Lu2O5 at its relaxed geometry.

The structure belongs to space group P4/mmm (No. 123); the cell edges are 4.450, 4.450 and 8.138 Å and the angles 90.00°, 90.00° and 90.00°. The asymmetric unit holds Ac at (0.000, 0.000, 0.229), Lu at (0.500, 0.500, 0.000), Lu at (0.500, 0.500, 0.500), O at (0.000, 0.000, 0.500) and O at (0.000, 0.500, 0.312).

The energy above the most stable polymorph in this dataset comes out at 1.092 eV/atom. The total magnetization comes out at 0.0 μB per cell. The crystal system is tetragonal.



(9)
A plane-wave DFT calculation with PBE-GGA was carried out for crystalline AcLuPa at its relaxed geometry.

The structure belongs to space group F-43m (No. 216); the cell edges are 7.604, 7.604 and 7.604 Å and the angles 90.00°, 90.00° and 90.00°. The asymmetric unit holds Ac at (0.000, 0.000, 0.000), Lu at (0.250, 0.250, 0.250) and Pa at (0.000, 0.000, 0.500).

The energy above the most stable polymorph in this dataset comes out at 0.000 eV/atom. The total magnetization comes out at 0.9 μB per cell. The crystal system is cubic. The calculation puts the formation energy from the elements at 1.07 eV/atom.



(10)
A plane-wave DFT calculation with PBE-GGA was carried out for crystalline AcLuPb at its relaxed geometry.

The structure belongs to space group F-43m (No. 216); the cell edges are 7.875, 7.875 and 7.875 Å and the angles 90.00°, 90.00° and 90.00°. The asymmetric unit holds Ac at (0.000, 0.000, 0.000), Lu at (0.250, 0.250, 0.750) and Pb at (0.250, 0.250, 0.250).

The energy above the most stable polymorph in this dataset comes out at 0.487 eV/atom. The total magnetization comes out at 0.0 μB per cell. The crystal system is cubic.



(11)
A plane-wave DFT calculation with PBE-GGA was carried out for crystalline AcLuPb at its relaxed geometry.

The structure belongs to space group F-43m (No. 216); the cell edges are 7.648, 7.648 and 7.648 Å and the angles 90.00°, 90.00° and 90.00°. The asymmetric unit holds Ac at (0.000, 0.000, 0.000), Lu at (0.000, 0.000, 0.500) and Pb at (0.250, 0.250, 0.250).

The energy above the most stable polymorph in this dataset comes out at 0.000 eV/atom. The total magnetization comes out at 0.1 μB per cell. The crystal system is cubic.



(12)
A plane-wave DFT calculation with PBE-GGA was carried out for crystalline AcPmLu at its relaxed geometry.

The structure belongs to space group F-43m (No. 216); the cell edges are 7.954, 7.954 and 7.954 Å and the angles 90.00°, 90.00° and 90.00°. The asymmetric unit holds Ac at (0.000, 0.000, 0.000), Pm at (0.000, 0.000, 0.500) and Lu at (0.250, 0.250, 0.750).

The energy above the most stable polymorph in this dataset comes out at 0.000 eV/atom. The total magnetization comes out at 0.1 μB per cell. The crystal system is cubic. The calculation puts the formation energy from the elements at 0.64 eV/atom.